1:
This record from the Alexandria database describes a relaxed structure of Gd2CoCl. The functional is GGA-PBE.

Structure (POSCAR):
```
Gd2CoCl
1.0
-0.240 2.476 2.950
-0.185 -1.324 3.620
7.256 0.569 2.636
Gd Co Cl
2 1 1
Cartesian
1.337 0.421 2.279
5.494 1.299 6.926
0.000 0.000 0.000
3.416 0.860 4.603
```

Calculated values
* magnetic moment: 3.5253 μB/atom
* calculated volume: 95.6 Å³ per cell

2:
This record from the Alexandria database describes a relaxed structure of Gd2CoCl. The functional is GGA-PBE.

Structure (POSCAR):
```
Gd2CoCl
1.0
3.323 0.000 0.000
0.000 3.323 0.000
0.000 0.000 7.926
Gd Co Cl
2 1 1
Cartesian
0.000 0.000 6.245
0.000 0.000 1.680
1.661 1.661 0.000
1.661 1.661 3.963
```

Calculated values
* magnetic moment: 3.4573 μB/atom
* calculated volume: 87.5 Å³ per cell

Last place for stability: 2

1:
This record from the Alexandria database describes a relaxed structure of Co3GeCl. The functional is GGA-PBE.

Structure (POSCAR):
```
Co3GeCl
1.0
4.149 0.000 0.000
0.000 4.149 0.000
0.000 0.000 4.149
Ge Co Cl
1 3 1
Cartesian
2.075 2.075 2.075
0.000 2.075 0.000
0.000 0.000 2.075
2.075 0.000 0.000
0.000 0.000 0.000
```

Calculated values
* magnetic moment: 0.4000 μB/atom
* calculated volume: 71.4 Å³ per cell

2:
This record from the Alexandria database describes a relaxed structure of Co3GeCl. The functional is GGA-PBE.

Structure (POSCAR):
```
Co3GeCl
1.0
4.463 0.000 0.000
0.000 4.463 0.000
0.000 0.000 4.463
Ge Co Cl
1 3 1
Cartesian
0.000 0.000 0.000
0.000 2.231 0.000
0.000 0.000 2.231
2.231 0.000 0.000
2.231 2.231 2.231
```

Calculated values
* magnetic moment: 0.7210 μB/atom
* calculated volume: 88.9 Å³ per cell

Last place for stability: 2

1:
This record from the Alexandria database describes a relaxed structure of Co2GeCl. The functional is GGA-PBE.

Structure (POSCAR):
```
Co2GeCl
1.0
1.837 -3.705 0.934
1.214 -0.821 3.978
-2.091 -2.881 2.303
Ge Co Cl
1 2 1
Cartesian
0.480 -3.704 3.608
0.240 -1.852 1.804
0.720 -5.555 5.412
0.000 0.000 0.000
```

Calculated values
* magnetic moment: 0.4438 μB/atom
* calculated volume: 53.9 Å³ per cell

2:
This record from the Alexandria database describes a relaxed structure of Co2GeCl. The functional is GGA-PBE.

Structure (POSCAR):
```
Co2GeCl
1.0
-2.481 -4.806 -1.225
4.408 -1.510 -3.007
2.865 -5.097 1.646
Ge Co Cl
2 4 2
Cartesian
0.000 0.000 0.000
0.674 -6.531 -0.847
-0.250 -4.403 -0.713
3.128 -2.882 -1.637
2.930 -6.211 -0.392
3.777 -9.329 -2.428
0.964 -3.158 -2.116
4.118 -4.882 -1.738
```

Calculated values
* magnetic moment: 0.7189 μB/atom
* calculated volume: 142.7 Å³ per cell

Last place for stability: 1

1:
This record from the Alexandria database describes a relaxed structure of CoGe2Cl. The functional is GGA-PBE.

Structure (POSCAR):
```
CoGe2Cl
1.0
3.399 -3.001 -0.720
1.493 -2.647 3.441
-0.882 -4.506 -0.020
Ge Co Cl
2 1 1
Cartesian
1.002 -2.538 0.675
3.007 -7.615 2.026
2.005 -5.077 1.350
0.000 0.000 0.000
```

Calculated values
* magnetic moment: 0.2147 μB/atom
* calculated volume: 68.4 Å³ per cell

2:
This record from the Alexandria database describes a relaxed structure of CoGe2Cl. The functional is GGA-PBE.

Structure (POSCAR):
```
CoGe2Cl
1.0
-3.996 -0.280 -4.278
2.970 -4.399 -2.486
-3.385 -5.927 -0.465
Ge Co Cl
4 2 2
Cartesian
-3.322 -2.231 -3.475
0.860 -4.242 -1.830
-3.183 -5.815 -2.668
-3.177 -8.924 -6.485
0.000 0.000 0.000
-3.947 -4.273 -4.063
-0.513 -2.340 -3.382
-0.464 -6.333 -3.166
```

Calculated values
* magnetic moment: 0.0000 μB/atom
* calculated volume: 187.0 Å³ per cell

Last place for stability: 1

1:
This record from the Alexandria database describes a relaxed structure of CoGeCl2. The functional is GGA-PBE.

Structure (POSCAR):
```
CoGeCl2
1.0
-0.117 -4.492 1.201
-4.084 -2.127 0.650
-1.475 -3.185 -3.051
Ge Co Cl
1 1 2
Cartesian
-2.838 -4.902 -0.600
0.000 0.000 0.000
-1.419 -2.451 -0.300
-4.257 -7.353 -0.901
```

Calculated values
* magnetic moment: 0.3820 μB/atom
* calculated volume: 71.1 Å³ per cell

2:
This record from the Alexandria database describes a relaxed structure of CoGeCl2. The functional is GGA-PBE.

Structure (POSCAR):
```
CoGeCl2
1.0
8.763 0.000 0.000
0.000 8.763 0.000
4.382 4.382 2.295
Ge Co Cl
2 2 4
Cartesian
0.000 0.000 0.000
8.763 4.382 1.148
4.382 4.382 0.000
4.382 8.763 1.148
5.197 2.191 0.574
3.566 6.572 0.574
6.572 7.948 1.722
10.954 9.578 1.722
```

Calculated values
* magnetic moment: 0.2501 μB/atom
* calculated volume: 176.3 Å³ per cell

Last place for stability: 1

1:
This record from the Alexandria database describes a relaxed structure of CoHCl2. The functional is GGA-PBE.

Structure (POSCAR):
```
CoHCl2
1.0
2.146 0.000 5.621
-1.073 1.859 5.621
-1.073 -1.859 5.621
H Co Cl
1 1 2
Cartesian
0.000 0.000 0.000
0.000 0.000 8.432
0.000 0.000 15.290
0.000 0.000 1.574
```

Calculated values
* magnetic moment: 0.5000 μB/atom
* calculated volume: 67.3 Å³ per cell

2:
This record from the Alexandria database describes a relaxed structure of CoHCl2. The functional is GGA-PBE.

Structure (POSCAR):
```
CoHCl2
1.0
-3.766 1.838 1.243
-1.978 2.903 -2.601
-3.724 -1.062 -2.027
H Co Cl
1 1 2
Cartesian
0.000 0.000 0.000
-4.733 1.839 -1.692
-2.367 0.920 -0.846
-7.100 2.759 -2.538
```

Calculated values
* magnetic moment: 1.0000 μB/atom
* calculated volume: 59.0 Å³ per cell

3:
This record from the Alexandria database describes a relaxed structure of CoHCl2. The functional is GGA-PBE.

Structure (POSCAR):
```
CoHCl2
1.0
5.036 0.000 0.000
0.000 5.036 0.000
2.518 2.518 4.806
H Co Cl
2 2 4
Cartesian
2.518 2.518 0.000
2.518 5.036 2.403
0.000 0.000 0.000
5.036 2.518 2.403
3.598 1.259 1.201
1.437 3.777 1.201
3.777 3.955 3.604
6.295 6.116 3.604
```

Calculated values
* magnetic moment: 0.5000 μB/atom
* calculated volume: 121.9 Å³ per cell

Last place for stability: 2

1:
This record from the Alexandria database describes a relaxed structure of CoHS2Cl. The functional is GGA-PBE.

Structure (POSCAR):
```
CoHS2Cl
1.0
-2.078 2.395 -1.637
-2.266 -2.598 -0.922
-3.322 0.923 5.565
H S Co Cl
1 2 1 1
Cartesian
0.000 0.000 0.000
-1.133 -1.299 -0.461
-1.039 1.197 -0.819
-3.833 0.360 1.503
-1.661 0.461 2.783
```

Calculated values
* magnetic moment: 0.4668 μB/atom
* calculated volume: 83.4 Å³ per cell

2:
This record from the Alexandria database describes a relaxed structure of CoHS2Cl. The functional is GGA-PBE.

Structure (POSCAR):
```
CoHS2Cl
1.0
-1.783 3.659 -1.565
0.941 -1.278 -4.062
-4.380 -2.263 -0.303
H S Co Cl
1 2 1 1
Cartesian
-2.611 0.059 -2.964
0.471 -0.639 -2.031
-0.891 1.830 -0.782
0.000 0.000 0.000
-2.190 -1.131 -0.151
```

Calculated values
* magnetic moment: 0.3634 μB/atom
* calculated volume: 93.9 Å³ per cell

Last place for stability: 2

1:
This record from the Alexandria database describes a relaxed structure of HfCoCl2. The functional is GGA-PBE.

Structure (POSCAR):
```
HfCoCl2
1.0
-4.540 -3.107 0.464
1.946 -3.421 -3.871
0.940 -6.004 1.842
Co Hf Cl
2 2 4
Cartesian
-1.297 -3.264 -1.704
0.794 -6.345 -1.866
0.000 0.000 0.000
-2.449 -6.187 0.301
-2.160 -3.734 0.246
0.684 -4.164 -1.881
-0.182 -7.101 -0.066
-1.650 -10.065 -1.430
```

Calculated values
* magnetic moment: 0.0000 μB/atom
* calculated volume: 152.7 Å³ per cell

2:
This record from the Alexandria database describes a relaxed structure of HfCoCl2. The functional is GGA-PBE.

Structure (POSCAR):
```
HfCoCl2
1.0
-2.285 2.596 2.729
0.268 4.381 -0.386
-3.445 2.294 -1.510
Co Hf Cl
1 1 2
Cartesian
0.000 0.000 0.000
-2.731 4.635 0.417
-1.365 2.318 0.208
-4.096 6.953 0.625
```

Calculated values
* magnetic moment: 0.0001 μB/atom
* calculated volume: 60.5 Å³ per cell

Last place for stability: 2

1:
This record from the Alexandria database describes a relaxed structure of HfCoCl3. The functional is GGA-PBE.

Structure (POSCAR):
```
HfCoCl3
1.0
-0.444 3.235 -3.773
-4.049 -2.432 -1.609
-2.882 2.919 2.841
Co Hf Cl
1 1 3
Cartesian
-3.687 1.861 -1.270
0.000 0.000 0.000
-2.025 -1.216 -0.805
-1.441 1.459 1.421
-0.222 1.618 -1.887
```

Calculated values
* magnetic moment: 0.5882 μB/atom
* calculated volume: 124.2 Å³ per cell

2:
This record from the Alexandria database describes a relaxed structure of HfCoCl3. The functional is GGA-PBE.

Structure (POSCAR):
```
HfCoCl3
1.0
-1.438 -4.121 1.322
1.778 -1.833 -3.778
3.945 -0.676 2.185
Co Hf Cl
1 1 3
Cartesian
0.000 0.000 0.000
2.143 -3.315 -0.136
0.889 -0.916 -1.889
1.973 -0.338 1.092
-0.719 -2.060 0.661
```

Calculated values
* magnetic moment: 0.1497 μB/atom
* calculated volume: 94.8 Å³ per cell

Last place for stability: 2

1:
This record from the Alexandria database describes a relaxed structure of HfCoPCl2. The functional is GGA-PBE.

Structure (POSCAR):
```
HfCoPCl2
1.0
-1.584 3.993 0.422
-1.591 -1.041 3.876
4.085 1.404 2.054
Co Hf P Cl
1 1 1 2
Cartesian
0.000 0.000 0.000
0.455 2.178 3.176
2.043 0.702 1.027
-0.795 -0.521 1.938
-0.792 1.997 0.211
```

Calculated values
* magnetic moment: 0.0237 μB/atom
* calculated volume: 89.1 Å³ per cell

2:
This record from the Alexandria database describes a relaxed structure of HfCoPCl2. The functional is GGA-PBE.

Structure (POSCAR):
```
HfCoPCl2
1.0
4.859 0.000 0.000
0.000 4.859 0.000
0.000 0.000 5.185
Co Hf P Cl
1 1 1 2
Cartesian
2.430 2.430 2.592
0.000 0.000 0.000
0.000 0.000 2.592
0.000 2.430 0.000
2.430 0.000 0.000
```

Calculated values
* magnetic moment: 0.4465 μB/atom
* calculated volume: 122.4 Å³ per cell

Last place for stability: 1

1:
This record from the Alexandria database describes a relaxed structure of HfCoSCl2. The functional is GGA-PBE.

Structure (POSCAR):
```
HfCoSCl2
1.0
-1.470 -4.082 0.594
2.335 -1.343 -3.453
3.572 -0.884 2.760
Co S Hf Cl
1 1 1 2
Cartesian
0.000 0.000 0.000
1.786 -0.442 1.380
2.219 -3.155 -0.049
1.168 -0.672 -1.726
-0.735 -2.041 0.297
```

Calculated values
* magnetic moment: 0.0010 μB/atom
* calculated volume: 88.2 Å³ per cell

2:
This record from the Alexandria database describes a relaxed structure of HfCoSCl2. The functional is GGA-PBE.

Structure (POSCAR):
```
HfCoSCl2
1.0
4.959 0.000 0.000
0.000 4.959 0.000
0.000 0.000 4.942
Co S Hf Cl
1 1 1 2
Cartesian
2.480 2.480 2.471
0.000 0.000 2.471
0.000 0.000 0.000
0.000 2.480 0.000
2.480 0.000 0.000
```

Calculated values
* magnetic moment: 0.5202 μB/atom
* calculated volume: 121.6 Å³ per cell

Last place for stability: 1

1:
This record from the Alexandria database describes a relaxed structure of Co2HgCl. The functional is GGA-PBE.

Structure (POSCAR):
```
Co2HgCl
1.0
5.213 0.006 0.002
1.405 5.020 -0.002
-2.213 -3.956 2.574
Co Hg Cl
2 1 1
Cartesian
0.175 0.133 0.000
3.134 2.380 0.000
3.154 -0.718 1.288
1.250 1.789 1.286
```

Calculated values
* magnetic moment: 0.8730 μB/atom
* calculated volume: 67.3 Å³ per cell

2:
This record from the Alexandria database describes a relaxed structure of Co2HgCl. The functional is GGA-PBE.

Structure (POSCAR):
```
Co2HgCl
1.0
6.266 0.014 0.010
3.707 5.052 -0.010
-4.456 -3.578 2.571
Co Hg Cl
2 1 1
Cartesian
0.072 0.036 0.000
4.468 0.027 1.290
4.583 2.328 0.000
1.382 1.629 1.281
```

Calculated values
* magnetic moment: 0.9847 μB/atom
* calculated volume: 81.1 Å³ per cell

3:
This record from the Alexandria database describes a relaxed structure of Co2HgCl. The functional is GGA-PBE.

Structure (POSCAR):
```
Co2HgCl
1.0
2.987 0.000 0.000
0.000 2.987 0.000
0.000 0.000 6.723
Co Hg Cl
2 1 1
Cartesian
0.000 0.000 6.504
0.000 0.000 3.580
1.494 1.494 1.681
1.494 1.494 5.042
```

Calculated values
* magnetic moment: 0.8189 μB/atom
* calculated volume: 60.0 Å³ per cell

4:
This record from the Alexandria database describes a relaxed structure of Co2HgCl. The functional is GGA-PBE.

Structure (POSCAR):
```
Co2HgCl
1.0
0.000 3.178 3.178
3.178 0.000 3.178
3.178 3.178 0.000
Co Hg Cl
2 1 1
Cartesian
1.589 1.589 1.589
4.767 4.767 4.767
3.178 3.178 3.178
0.000 0.000 0.000
```

Calculated values
* magnetic moment: 0.7929 μB/atom
* calculated volume: 64.2 Å³ per cell

Last place for stability: 4

1:
This record from the Alexandria database describes a relaxed structure of Co2HgCl. The functional is GGA-PBE.

Structure (POSCAR):
```
Co2HgCl
1.0
-0.576 -0.791 -2.826
3.767 -3.915 0.328
-2.949 -2.723 1.364
Co Hg Cl
2 1 1
Cartesian
0.000 0.000 0.000
1.595 -2.353 -1.249
-1.762 -1.757 -0.731
0.409 -3.319 0.846
```

Calculated values
* magnetic moment: 0.8907 μB/atom
* calculated volume: 69.0 Å³ per cell

2:
This record from the Alexandria database describes a relaxed structure of Co2HgCl. The functional is GGA-PBE.

Structure (POSCAR):
```
Co2HgCl
1.0
4.527 0.000 0.000
2.264 3.921 0.000
2.264 1.307 3.697
Co Hg Cl
2 1 1
Cartesian
0.000 0.000 0.000
2.264 1.307 0.924
6.791 3.921 2.772
4.527 2.614 1.848
```

Calculated values
* magnetic moment: 0.7432 μB/atom
* calculated volume: 65.6 Å³ per cell

Last place for stability: 2